A geometry-optimized NbMoBr2O structure, computed with PBE+U.

Lattice parameters (Å, degrees): 5.613 5.613 3.847 90.00 90.00 90.00
Positions (direct):
Nb  0.000  0.000  0.000
Mo  0.500  0.500  0.500
Br  0.000  0.500  0.500
Br  0.500  0.000  0.500
O  0.500  0.500  0.000

Computed properties:
total DFT energy (no corrections)	-4.956	eV per atom
total magnetization	7.0	μB/f.u.
symmetry	No. 123